# 1
The following is a GGA-PBE calculation of a relaxed Ac3La2SmSe6 crystal, from Alexandria.

Cell: 7.5537 7.5537 7.5892 Å, 99.58 99.58 120.14°
Element x y z (fractional)
Ac1 0.0000 0.0000 0.0000
Ac2 0.3312 0.6688 0.0000
Ac3 0.6688 0.3312 0.0000
La1 0.1661 0.8339 0.5000
La2 0.8339 0.1661 0.5000
Sm1 0.5000 0.5000 0.5000
Se1 0.0940 0.4219 0.2645
Se2 0.2522 0.2522 0.7387
Se3 0.4219 0.0940 0.2645
Se4 0.5781 0.9060 0.7355
Se5 0.7478 0.7478 0.2613
Se6 0.9060 0.5781 0.7355

Properties
For the uncorrected formation energy, the calculation gives -1.900 eV/atom. As for the symmetry: C2/m (12).



# 2
The following is a GGA-PBE calculation of a relaxed Pm3AlSn5 crystal, from Alexandria.

Cell: 9.3860 9.3860 6.3163 Å, 90.00 90.00 120.00°
Element x y z (fractional)
Pm1 0.0000 0.3824 0.2500
Pm2 0.0000 0.6176 0.7500
Pm3 0.3824 0.0000 0.2500
Pm4 0.3824 0.3824 0.7500
Pm5 0.6176 0.0000 0.7500
Pm6 0.6176 0.6176 0.2500
Al1 0.0000 0.0000 0.0000
Al2 0.0000 0.0000 0.5000
Sn1 0.0000 0.2687 0.7500
Sn2 0.0000 0.7313 0.2500
Sn3 0.2687 0.0000 0.7500
Sn4 0.2687 0.2687 0.2500
Sn5 0.3333 0.6667 0.0000
Sn6 0.3333 0.6667 0.5000
Sn7 0.6667 0.3333 0.0000
Sn8 0.6667 0.3333 0.5000
Sn9 0.7313 0.0000 0.2500
Sn10 0.7313 0.7313 0.7500

Properties
As for the symmetry: P6_3/mcm (193). As for the formation energy: -0.45 eV/atom.